Entry 1:
# Ac3Al3Ir2, optimized geometry, DFT PBE
data_Ac3Al3Ir2
_chemical_formula_sum 'Ac12 Al12 Ir8'
_cell_length_a 8.3322
_cell_length_b 15.7228
_cell_length_c 6.1405
_cell_angle_alpha 90.00
_cell_angle_beta 90.00
_cell_angle_gamma 90.00
_symmetry_space_group_name_H-M 'P n m a'
_symmetry_Int_Tables_number 62
loop_
_symmetry_equiv_pos_as_xyz
'x,y,z'
'-x,-y,-z'
'-x+1/2,-y,z+1/2'
'x+1/2,y,-z+1/2'
'x+1/2,-y+1/2,-z+1/2'
'-x+1/2,y+1/2,z+1/2'
'-x,y+1/2,-z'
'x,-y+1/2,z'
loop_
_atom_site_label
_atom_site_type_symbol
_atom_site_fract_x
_atom_site_fract_y
_atom_site_fract_z
Ac1 Ac 0.0320 0.1087 0.0971
Ac2 Ac 0.1777 0.2500 0.5925
Al1 Al 0.1505 0.0360 0.5954
Al2 Al 0.1737 0.7500 0.5702
Ir1 Ir 0.1386 0.5996 0.3641
# - calculated total energy (eV/atom) = -5.759
# - total magnetic moment (Bohr magnetons per cell) = 0.00

Entry 2:
# HfMgZn4, optimized geometry, DFT PBE
data_HfMgZn4
_chemical_formula_sum 'Hf2 Mg2 Zn8'
_cell_length_a 3.7183
_cell_length_b 3.7183
_cell_length_c 15.8820
_cell_angle_alpha 90.00
_cell_angle_beta 90.00
_cell_angle_gamma 90.00
_symmetry_space_group_name_H-M 'I -4 m 2'
_symmetry_Int_Tables_number 119
_symmetry_space_group_name_Hall 'I -4 -2'
loop_
_atom_site_label
_atom_site_type_symbol
_atom_site_fract_x
_atom_site_fract_y
_atom_site_fract_z
Hf1 Hf 0.0000 0.0000 0.0000
Mg1 Mg 0.0000 0.5000 0.7500
Zn1 Zn 0.0000 0.0000 0.4234
Zn2 Zn 0.0000 0.5000 0.1734
# - calculated total energy (eV/atom) = -2.715
# - total magnetic moment (Bohr magnetons per cell) = 0.00

Entry 3:
# TmAl8Fe2, optimized geometry, DFT PBE
data_TmAl8Fe2
_chemical_formula_sum 'Tm2 Al16 Fe4'
_cell_length_a 8.1574
_cell_length_b 10.3764
_cell_length_c 4.5722
_cell_angle_alpha 90.00
_cell_angle_beta 102.94
_cell_angle_gamma 90.00
_symmetry_space_group_name_H-M 'C 1 2/m 1'
_symmetry_Int_Tables_number 12
loop_
_symmetry_equiv_pos_as_xyz
'x,y,z'
'-x,-y,-z'
'-x,y,-z'
'x,-y,z'
'x+1/2,y+1/2,z'
'-x+1/2,-y+1/2,-z'
'-x+1/2,y+1/2,-z'
'x+1/2,-y+1/2,z'
loop_
_atom_site_label
_atom_site_type_symbol
_atom_site_fract_x
_atom_site_fract_y
_atom_site_fract_z
Tm1 Tm 0.0000 0.0000 0.0000
Al1 Al 0.0000 0.2817 0.0000
Al2 Al 0.1081 0.5000 0.7663
Al3 Al 0.2191 0.1314 0.5927
Fe1 Fe 0.0000 0.2915 0.5000
# - calculated total energy (eV/atom) = -4.851
# - total magnetic moment (Bohr magnetons per cell) = 0.00

Entry 4:
# TmCdCl, optimized geometry, DFT PBE
data_TmCdCl
_chemical_formula_sum 'Tm4 Cd4 Cl4'
_cell_length_a 15.6626
_cell_length_b 3.5646
_cell_length_c 6.1732
_cell_angle_alpha 90.00
_cell_angle_beta 90.00
_cell_angle_gamma 90.00
_symmetry_space_group_name_H-M 'A m m 2'
_symmetry_Int_Tables_number 38
loop_
_symmetry_equiv_pos_as_xyz
'x,y,z'
'-x,-y,z'
'-x,y,z'
'x,-y,z'
'x,y+1/2,z+1/2'
'-x,-y+1/2,z+1/2'
'-x,y+1/2,z+1/2'
'x,-y+1/2,z+1/2'
loop_
_atom_site_label
_atom_site_type_symbol
_atom_site_fract_x
_atom_site_fract_y
_atom_site_fract_z
Tm1 Tm 0.1546 0.0000 0.0000
Cd1 Cd 0.0000 0.0000 0.3333
Cd2 Cd 0.5000 0.0000 0.0451
Cl1 Cl 0.2698 0.0000 0.3336
# - calculated total energy (eV/atom) = -3.306
# - total magnetic moment (Bohr magnetons per cell) = 1.30
# - raw formation energy (eV per atom) = -0.90

Entry 5:
# KCuHg2, optimized geometry, DFT PBE
data_KCuHg2
_chemical_formula_sum 'K1 Cu1 Hg2'
_cell_length_a 4.8197
_cell_length_b 4.8197
_cell_length_c 4.7272
_cell_angle_alpha 90.00
_cell_angle_beta 90.00
_cell_angle_gamma 90.00
_symmetry_space_group_name_H-M 'P 4/m m m'
_symmetry_Int_Tables_number 123
_symmetry_space_group_name_Hall '-P 4 2'
loop_
_atom_site_label
_atom_site_type_symbol
_atom_site_fract_x
_atom_site_fract_y
_atom_site_fract_z
K1 K 0.0000 0.0000 0.0000
Cu1 Cu 0.5000 0.5000 0.0000
Hg1 Hg 0.0000 0.5000 0.5000
# - calculated total energy (eV/atom) = -1.279
# - total magnetic moment (Bohr magnetons per cell) = 0.00

Entry 6:
# Al2SbRu, optimized geometry, DFT PBE
data_Al2SbRu
_chemical_formula_sum 'Al2 Sb1 Ru1'
_cell_length_a 3.0226
_cell_length_b 3.0347
_cell_length_c 8.1752
_cell_angle_alpha 90.00
_cell_angle_beta 90.00
_cell_angle_gamma 90.00
_symmetry_space_group_name_H-M 'P m m m'
_symmetry_Int_Tables_number 47
loop_
_symmetry_equiv_pos_as_xyz
'x,y,z'
'-x,-y,-z'
'-x,-y,z'
'x,y,-z'
'x,-y,-z'
'-x,y,z'
'-x,y,-z'
'x,-y,z'
loop_
_atom_site_label
_atom_site_type_symbol
_atom_site_fract_x
_atom_site_fract_y
_atom_site_fract_z
Al1 Al 0.0000 0.0000 0.1728
Sb1 Sb 0.5000 0.0000 0.5000
Ru1 Ru 0.5000 0.5000 0.0000
# - calculated total energy (eV/atom) = -5.551
# - total magnetic moment (Bohr magnetons per cell) = 0.00
# - raw formation energy (eV per atom) = -0.33

Entry 7:
# Hg6Sb7, optimized geometry, DFT PBE
data_Hg6Sb7
_chemical_formula_sum 'Hg18 Sb21'
_cell_length_a 6.5739
_cell_length_b 6.5739
_cell_length_c 30.1064
_cell_angle_alpha 90.00
_cell_angle_beta 90.00
_cell_angle_gamma 120.00
_symmetry_space_group_name_H-M 'R -3 m'
_symmetry_Int_Tables_number 166
_symmetry_space_group_name_Hall '-R 3 2"'
loop_
_atom_site_label
_atom_site_type_symbol
_atom_site_fract_x
_atom_site_fract_y
_atom_site_fract_z
Hg1 Hg 0.0000 0.0000 0.0481
Hg2 Hg 0.0000 0.0000 0.1510
Hg3 Hg 0.0000 0.0000 0.3387
Sb1 Sb 0.0000 0.0000 0.5000
Sb2 Sb 0.0220 0.5110 0.9143
# - calculated total energy (eV/atom) = -2.176
# - total magnetic moment (Bohr magnetons per cell) = 0.00
# - raw formation energy (eV per atom) = 0.18

Entry 8:
# CrCu2S, optimized geometry, DFT PBE
data_CrCu2S
_chemical_formula_sum 'Cr4 Cu8 S4'
_cell_length_a 6.0958
_cell_length_b 6.0958
_cell_length_c 6.0958
_cell_angle_alpha 90.00
_cell_angle_beta 90.00
_cell_angle_gamma 90.00
_symmetry_space_group_name_H-M 'F m -3 m'
_symmetry_Int_Tables_number 225
_symmetry_space_group_name_Hall '-F 4 2 3'
loop_
_atom_site_label
_atom_site_type_symbol
_atom_site_fract_x
_atom_site_fract_y
_atom_site_fract_z
Cr1 Cr 0.0000 0.0000 0.0000
Cu1 Cu 0.2500 0.2500 0.2500
S1 S 0.0000 0.0000 0.5000
# - calculated total energy (eV/atom) = -4.996
# - total magnetic moment (Bohr magnetons per cell) = 16.49
# - raw formation energy (eV per atom) = 0.49